[1]
Material: BaPrSn2
Method: DFT, PBE
State: relaxed

```
BaPrSn2
1.0
4.258 0.000 0.000
0.000 4.258 0.000
0.000 0.000 7.522
Ba Pr Sn
1 1 2
Cartesian
0.000 0.000 0.000
0.000 0.000 3.761
2.129 2.129 2.256
2.129 2.129 5.266
```

Output
- Energy of formation from the pure elements: -642 meV/atom

=====

[2]
Material: Sm4MgCd7
Method: DFT, PBE
State: relaxed

```
Sm4MgCd7
1.0
7.756 -2.603 0.000
7.756 2.603 0.000
-5.066 0.000 8.069
Sm Mg Cd
4 1 7
Cartesian
-0.192 0.000 1.945
-0.195 0.000 6.057
10.640 0.000 2.012
10.637 0.000 6.124
5.223 0.000 4.035
-2.533 0.000 4.035
2.609 0.000 0.282
2.311 0.000 4.001
5.669 0.000 1.143
4.776 0.000 6.926
8.134 0.000 4.068
7.836 0.000 7.787
```

Output
- Energy of formation from the pure elements: -156 meV/atom

=====

[3]
Material: Li3TaTe
Method: DFT, PBE
State: relaxed

```
Li3TaTe
1.0
5.087 0.000 0.000
0.000 5.087 0.000
0.000 0.000 5.087
Li Ta Te
3 1 1
Cartesian
0.000 0.000 2.543
0.000 2.543 0.000
2.543 0.000 0.000
2.543 2.543 2.543
0.000 0.000 0.000
```

Output
- Formation energy from raw total energies: 722 meV per atom

=====

[4]
Material: Ce2PuNi9
Method: DFT, PBE
State: relaxed

```
Ce2PuNi9
1.0
2.475 1.429 8.202
-2.475 1.429 8.202
0.000 -2.858 8.202
Ce Pu Ni
2 1 9
Cartesian
0.000 0.000 3.378
0.000 0.000 21.227
0.000 0.000 0.000
-1.238 -0.715 10.216
0.000 0.000 8.189
0.000 -1.430 14.389
-1.238 0.715 14.389
0.000 0.000 12.303
1.238 -0.715 10.216
0.000 1.430 10.216
0.000 0.000 16.416
1.238 0.715 14.389
```

Output
- Energy of formation from the pure elements: -321 meV/atom